# Th4CdIn15

Th4CdIn15 after structural relaxation (PBE, Alexandria via LeMat-Bulk). Values from VASP.

Geometry as Quantum ESPRESSO input:
```
&SYSTEM
  ibrav = 0, nat = 20, ntyp = 3
/
ATOMIC_SPECIES
Th 232.04 Th.upf
Cd 112.41 Cd.upf
In 114.82 In.upf
CELL_PARAMETERS angstrom
4.723 0.000 0.000
0.000 4.723 0.000
0.000 0.000 23.758
ATOMIC_POSITIONS crystal
Th 0.000 0.000 0.101
Th 0.000 0.000 0.299
Th 0.000 0.000 0.701
Th 0.000 0.000 0.899
Cd 0.000 0.000 0.500
In 0.000 0.500 0.000
In 0.000 0.500 0.200
In 0.000 0.500 0.403
In 0.000 0.500 0.597
In 0.000 0.500 0.800
In 0.500 0.000 0.000
In 0.500 0.000 0.200
In 0.500 0.000 0.403
In 0.500 0.000 0.597
In 0.500 0.000 0.800
In 0.500 0.500 0.099
In 0.500 0.500 0.299
In 0.500 0.500 0.500
In 0.500 0.500 0.701
In 0.500 0.500 0.901
```

Computed properties:
The crystal system is tetragonal. Its density is 8.66 Mg/m³. As for the raw total energy: -3.83 eV per atom. Its symmetry is P4/mmm.

***

# Th3Cd4In2

Th3Cd4In2 after structural relaxation (PBE, Alexandria via LeMat-Bulk). Values from VASP.

Geometry as Quantum ESPRESSO input:
```
&SYSTEM
  ibrav = 0, nat = 9, ntyp = 3
/
ATOMIC_SPECIES
Th 232.04 Th.upf
Cd 112.41 Cd.upf
In 114.82 In.upf
CELL_PARAMETERS angstrom
7.576 0.000 0.000
-3.788 6.561 0.000
0.000 0.000 4.807
ATOMIC_POSITIONS crystal
Th 0.000 0.433 0.000
Th 0.433 0.000 0.000
Th 0.567 0.567 0.000
Cd 0.000 0.000 0.000
Cd 0.000 0.761 0.500
Cd 0.239 0.239 0.500
Cd 0.761 0.000 0.500
In 0.333 0.667 0.500
In 0.667 0.333 0.500
```

Computed properties:
The relative energy among the computed polymorphs is 13 meV per atom. The crystal system is hexagonal. Its density is 9.56 Mg/m³. As for the raw total energy: -3.70 eV per atom. Its symmetry is P-62m.

***

# ThCd2In2

ThCd2In2 after structural relaxation (PBE, Alexandria via LeMat-Bulk). Values from VASP.

Geometry as Quantum ESPRESSO input:
```
&SYSTEM
  ibrav = 0, nat = 10, ntyp = 3
/
ATOMIC_SPECIES
Th 232.04 Th.upf
Cd 112.41 Cd.upf
In 114.82 In.upf
CELL_PARAMETERS angstrom
5.251 0.000 0.000
-2.626 4.548 0.000
0.000 0.000 12.698
ATOMIC_POSITIONS crystal
Th 0.000 0.000 0.250
Th 0.000 0.000 0.750
Cd 0.333 0.667 0.113
Cd 0.333 0.667 0.387
Cd 0.667 0.333 0.613
Cd 0.667 0.333 0.887
In 0.000 0.000 0.000
In 0.000 0.000 0.500
In 0.333 0.667 0.750
In 0.667 0.333 0.250
```

Computed properties:
The crystal system is hexagonal. Its density is 7.52 Mg/m³. As for the raw total energy: -2.81 eV per atom. Its symmetry is P6_3/mmc.

***

# Th3CdIn3

Th3CdIn3 after structural relaxation (PBE, Alexandria via LeMat-Bulk). Values from VASP.

Geometry as Quantum ESPRESSO input:
```
&SYSTEM
  ibrav = 0, nat = 14, ntyp = 3
/
ATOMIC_SPECIES
Th 232.04 Th.upf
Cd 112.41 Cd.upf
In 114.82 In.upf
CELL_PARAMETERS angstrom
5.892 -2.367 0.000
5.892 2.367 0.000
-4.928 0.000 14.463
ATOMIC_POSITIONS crystal
Th 0.024 0.024 0.377
Th 0.106 0.106 0.921
Th 0.238 0.238 0.223
Th 0.762 0.762 0.777
Th 0.894 0.894 0.079
Th 0.976 0.976 0.623
Cd 0.265 0.265 0.612
Cd 0.735 0.735 0.388
In 0.368 0.368 0.454
In 0.384 0.384 0.927
In 0.481 0.481 0.772
In 0.519 0.519 0.228
In 0.616 0.616 0.073
In 0.632 0.632 0.546
```

Computed properties:
The crystal system is monoclinic. Its density is 9.49 Mg/m³. As for the raw total energy: -4.73 eV per atom. Its symmetry is C2/m.